1.
Compound: LaSb2Pb
Source: Alexandria via LeMat-Bulk
Functional: GGA-PBE
Structure: relaxed

Total magnetic moment ... 0.00 μB per cell
Energy ... -4.388 eV/atom
Formation energy without anion corrections ... -0.168 eV/atom

abc: 3.678 3.678 9.225
angles: 90.00 90.00 102.28
Element x y z (fractional)
Pb 0.500 0.500 0.762
La 0.000 0.000 0.484
Sb 0.000 0.000 0.004
Sb 0.500 0.500 0.251

2.
Compound: La2SbPb
Source: Alexandria via LeMat-Bulk
Functional: GGA-PBE
Structure: relaxed

Total magnetic moment ... 0.00 μB per cell
Energy ... -5.203 eV/atom
Formation energy without anion corrections ... -0.782 eV/atom

abc: 6.630 6.630 6.630
angles: 138.50 138.50 60.13
Element x y z (fractional)
Sb 0.750 0.250 0.500
La 0.250 0.750 0.500
La 0.000 0.000 0.000
Pb 0.500 0.500 0.000

3.
Compound: LaSb2Pb
Source: Alexandria via LeMat-Bulk
Functional: GGA-PBE
Structure: relaxed

Total magnetic moment ... 0.00 μB per cell
Energy ... -4.799 eV/atom
Formation energy without anion corrections ... -0.579 eV/atom

abc: 6.470 6.470 6.470
angles: 138.09 138.12 60.75
Element x y z (fractional)
Sb 0.750 0.250 0.500
Sb 0.000 0.000 0.000
La 0.500 0.500 0.000
Pb 0.250 0.750 0.500

4.
Compound: La2SbPb
Source: Alexandria via LeMat-Bulk
Functional: GGA-PBE
Structure: relaxed

Total magnetic moment ... 0.00 μB per cell
Energy ... -5.202 eV/atom
Formation energy without anion corrections ... -0.780 eV/atom

abc: 4.411 4.411 8.919
angles: 75.68 75.68 60.00
Element x y z (fractional)
La 0.076 0.076 0.772
La 0.257 0.257 0.229
Pb 0.499 0.499 0.503
Sb 0.668 0.668 0.997

5.
Compound: La2SbPb
Source: Alexandria via LeMat-Bulk
Functional: GGA-PBE
Structure: relaxed

Total magnetic moment ... 0.32 μB per cell
Energy ... -5.212 eV/atom
Formation energy without anion corrections ... -0.791 eV/atom

abc: 6.048 6.048 3.394
angles: 90.00 90.00 90.00
Last column: magnetic moment on the atom in μB.
Element x y z (fractional)
La 0.000 0.000 0.000  0.09
La 0.500 0.500 0.000  0.09
Sb 0.000 0.500 0.500  -0.01
Pb 0.500 0.000 0.500  0.00

6.
Compound: LaSbPb4
Source: Alexandria via LeMat-Bulk
Functional: GGA-PBE
Structure: relaxed

Total magnetic moment ... 0.00 μB per cell
Energy ... -4.064 eV/atom
Formation energy without anion corrections ... -0.084 eV/atom

abc: 6.458 6.458 6.458
angles: 60.00 60.00 60.00
Element x y z (fractional)
Pb 0.375 0.375 0.875
Pb 0.375 0.875 0.375
Pb 0.375 0.375 0.375
Pb 0.875 0.375 0.375
La 0.000 0.000 0.000
Sb 0.750 0.750 0.750

7.
Compound: LaSb2Pb
Source: Alexandria via LeMat-Bulk
Functional: GGA-PBE
Structure: relaxed

Total magnetic moment ... 0.00 μB per cell
Energy ... -4.404 eV/atom
Formation energy without anion corrections ... -0.184 eV/atom

abc: 11.770 11.770 11.770
angles: 16.98 16.98 16.98
Element x y z (fractional)
Pb 0.750 0.750 0.750
La 0.250 0.250 0.250
Sb 0.504 0.504 0.504
Sb 0.996 0.996 0.996

8.
Compound: LaSbPb3
Source: Alexandria via LeMat-Bulk
Functional: GGA-PBE
Structure: relaxed

Total magnetic moment ... 0.00 μB per cell
ΔE to the lowest computed polymorph ... 0.0 kJ/mol of formula units
Energy ... -3.692 eV/atom
Formation energy without anion corrections ... 0.343 eV/atom

abc: 5.812 5.812 5.812
angles: 90.00 90.00 90.00
Element x y z (fractional)
La 0.500 0.500 0.500
Sb 0.000 0.000 0.000
Pb 0.500 0.000 0.000
Pb 0.000 0.500 0.000
Pb 0.000 0.000 0.500

9.
Compound: La6Sb5Pb
Source: Alexandria via LeMat-Bulk
Functional: GGA-PBE
Structure: relaxed

Total magnetic moment ... 0.00 μB per cell
Energy ... -5.618 eV/atom
Formation energy without anion corrections ... -1.128 eV/atom

abc: 8.004 8.037 8.041
angles: 60.01 80.36 70.42
Element x y z (fractional)
La 0.252 0.254 0.000
La 0.251 0.578 0.339
La 0.251 0.916 0.661
La 0.748 0.746 0.000
La 0.749 0.084 0.339
La 0.749 0.422 0.661
Sb 0.500 0.500 0.000
Sb 0.000 0.667 0.667
Sb 0.500 0.166 0.668
Sb 0.500 0.834 0.332
Sb 0.000 0.333 0.333
Pb 0.000 0.000 0.000

10.
Compound: La2SbPb
Source: Alexandria via LeMat-Bulk
Functional: GGA-PBE
Structure: relaxed

Total magnetic moment ... 0.00 μB per cell
Energy ... -5.271 eV/atom
Formation energy without anion corrections ... -0.849 eV/atom

abc: 6.578 4.655 4.657
angles: 90.00 90.00 90.00
Element x y z (fractional)
Sb 0.500 0.875 0.875
La 0.500 0.375 0.375
La 0.000 0.875 0.875
Pb 0.000 0.375 0.375

11.
Compound: LaSb2Pb
Source: Alexandria via LeMat-Bulk
Functional: GGA-PBE
Structure: relaxed

Total magnetic moment ... 0.00 μB per cell
Energy ... -4.827 eV/atom
Formation energy without anion corrections ... -0.607 eV/atom

abc: 4.571 4.571 11.683
angles: 90.00 90.00 90.00
Element x y z (fractional)
Sb 0.500 0.000 0.228
Sb 0.000 0.500 0.772
Sb 0.000 0.000 0.500
Sb 0.500 0.500 0.500
Pb 0.000 0.000 0.000
Pb 0.500 0.500 0.000
La 0.000 0.500 0.284
La 0.500 0.000 0.716

12.
Compound: La2SbPb
Source: Alexandria via LeMat-Bulk
Functional: GGA-PBE
Structure: relaxed

Total magnetic moment ... 0.00 μB per cell
Energy ... -5.226 eV/atom
Formation energy without anion corrections ... -0.805 eV/atom

abc: 4.057 3.543 9.286
angles: 70.19 90.00 90.00
Element x y z (fractional)
Sb 0.500 0.750 0.750
Pb 0.500 0.250 0.250
La 0.000 0.528 0.514
La 0.000 0.972 0.986